The following is a PBE calculation of an optimized crystal structure of LaMgBr2, from Alexandria via LeMat-Bulk.

```
LaMgBr2
1.0
1.891 1.092 10.270
-1.891 1.092 10.270
0.000 -2.183 10.270
La Mg Br
1 1 2
Cartesian
0.000 0.000 0.000
0.000 0.000 15.406
0.000 0.000 12.427
0.000 0.000 18.384
```

Energy relative to the elements, uncorrected: -1.077 eV/atom
M_tot: 0.000 Bohr magnetons per cell
Energy above the most stable polymorph in this dataset: 0.44 kcal/mol of atoms

The following is a PBE calculation of an optimized crystal structure of LaMg2Br, from Alexandria via LeMat-Bulk.

```
LaMg2Br
1.0
1.940 -2.940 0.000
1.940 2.940 0.000
0.000 0.000 9.957
La Mg Br
1 2 1
Cartesian
0.000 0.000 0.000
1.940 0.000 2.807
1.940 0.000 7.151
0.000 0.000 4.979
```

Energy relative to the elements, uncorrected: -0.376 eV/atom
M_tot: 0.000 Bohr magnetons per cell
Energy above the most stable polymorph in this dataset: 2.63 kcal/mol of atoms

The following is a PBE calculation of an optimized crystal structure of La2MgBr, from Alexandria via LeMat-Bulk.

```
La2MgBr
1.0
1.900 1.097 10.005
-1.900 1.097 10.005
0.000 -2.193 10.005
La Mg Br
2 1 1
Cartesian
0.000 0.000 0.000
0.000 0.000 4.814
0.000 0.000 17.420
0.000 0.000 12.429
```

Energy relative to the elements, uncorrected: -0.625 eV/atom
M_tot: 0.000 Bohr magnetons per cell
Energy above the most stable polymorph in this dataset: 0.00 kcal/mol of atoms

The following is a PBE calculation of an optimized crystal structure of LaMg2Br, from Alexandria via LeMat-Bulk.

```
LaMg2Br
1.0
0.000 3.798 3.798
3.798 0.000 3.798
3.798 3.798 0.000
La Mg Br
1 2 1
Cartesian
0.000 0.000 0.000
1.899 1.899 1.899
3.798 3.798 3.798
5.698 5.698 5.698
```

Energy relative to the elements, uncorrected: -0.313 eV/atom
M_tot: 0.004 Bohr magnetons per cell
Energy above the most stable polymorph in this dataset: 4.08 kcal/mol of atoms

The following is a PBE calculation of an optimized crystal structure of La2MgBr, from Alexandria via LeMat-Bulk.

```
La2MgBr
1.0
3.879 0.000 0.000
0.000 3.838 0.000
-0.012 0.000 9.024
La Mg Br
2 1 1
Cartesian
0.001 0.000 2.019
3.866 0.000 7.004
1.939 1.919 0.000
-0.006 1.919 4.512
```

Energy relative to the elements, uncorrected: -0.602 eV/atom
M_tot: 0.000 Bohr magnetons per cell
Energy above the most stable polymorph in this dataset: 0.51 kcal/mol of atoms

The following is a PBE calculation of an optimized crystal structure of La3MgBr, from Alexandria via LeMat-Bulk.

```
La3MgBr
1.0
5.695 0.000 0.000
0.000 5.695 0.000
0.000 0.000 5.695
La Mg Br
3 1 1
Cartesian
0.000 0.000 2.848
0.000 2.848 0.000
2.848 0.000 0.000
2.848 2.848 2.848
0.000 0.000 0.000
```

Energy relative to the elements, uncorrected: -0.309 eV/atom
M_tot: 0.000 Bohr magnetons per cell
Energy above the most stable polymorph in this dataset: 0.00 kcal/mol of atoms

The following is a PBE calculation of an optimized crystal structure of LaMgBr, from Alexandria via LeMat-Bulk.

```
LaMgBr
1.0
0.000 3.047 7.451
1.972 0.000 7.451
1.972 3.047 0.000
La Mg Br
1 1 1
Cartesian
0.000 0.000 0.000
1.972 3.047 10.154
1.972 3.047 4.981
```

Energy relative to the elements, uncorrected: -0.635 eV/atom
M_tot: 0.000 Bohr magnetons per cell
Energy above the most stable polymorph in this dataset: 1.43 kcal/mol of atoms

The following is a PBE calculation of an optimized crystal structure of LaMgBr2, from Alexandria via LeMat-Bulk.

```
LaMgBr2
1.0
3.783 0.000 0.000
0.000 4.985 0.000
-0.080 0.000 6.469
La Mg Br
1 1 2
Cartesian
0.000 0.000 0.000
1.851 0.000 3.235
0.920 2.493 1.568
2.782 2.493 4.901
```

Energy relative to the elements, uncorrected: -0.939 eV/atom
M_tot: 0.000 Bohr magnetons per cell
Energy above the most stable polymorph in this dataset: 3.62 kcal/mol of atoms

The following is a PBE calculation of an optimized crystal structure of La2MgBr, from Alexandria via LeMat-Bulk.

```
La2MgBr
1.0
-1.842 3.069 5.743
1.842 -3.069 5.743
1.842 3.069 -5.743
La Mg Br
2 1 1
Cartesian
0.000 0.000 2.537
0.000 0.000 8.948
0.000 3.069 0.000
1.842 0.000 0.000
```

Energy relative to the elements, uncorrected: -0.410 eV/atom
M_tot: 0.000 Bohr magnetons per cell
Energy above the most stable polymorph in this dataset: 4.95 kcal/mol of atoms

The following is a PBE calculation of an optimized crystal structure of LaMg2Br, from Alexandria via LeMat-Bulk.

```
LaMg2Br
1.0
3.500 0.000 0.000
0.000 3.500 0.000
0.000 0.000 9.251
La Mg Br
1 2 1
Cartesian
0.000 0.000 0.000
1.750 1.750 2.516
1.750 1.750 6.735
0.000 0.000 4.625
```

Energy relative to the elements, uncorrected: -0.332 eV/atom
M_tot: 0.001 Bohr magnetons per cell
Energy above the most stable polymorph in this dataset: 3.65 kcal/mol of atoms

The following is a PBE calculation of an optimized crystal structure of LaMg2Br, from Alexandria via LeMat-Bulk.

```
LaMg2Br
1.0
5.407 -1.813 0.000
5.407 1.813 0.000
-0.984 0.000 5.936
La Mg Br
1 2 1
Cartesian
0.000 0.000 0.000
4.961 0.000 2.924
7.884 0.000 2.232
2.029 0.000 5.030
```

Energy relative to the elements, uncorrected: -0.416 eV/atom
M_tot: 0.001 Bohr magnetons per cell
Energy above the most stable polymorph in this dataset: 1.71 kcal/mol of atoms

The following is a PBE calculation of an optimized crystal structure of LaMg2Br, from Alexandria via LeMat-Bulk.

```
LaMg2Br
1.0
3.673 0.000 0.000
0.000 5.544 0.000
0.000 0.000 6.017
La Mg Br
1 2 1
Cartesian
0.000 0.000 0.000
1.836 2.772 1.471
1.836 2.772 4.545
0.000 0.000 3.008
```

Energy relative to the elements, uncorrected: -0.317 eV/atom
M_tot: 0.001 Bohr magnetons per cell
Energy above the most stable polymorph in this dataset: 4.00 kcal/mol of atoms

The following is a PBE calculation of an optimized crystal structure of LaMgBr, from Alexandria via LeMat-Bulk.

```
LaMgBr
1.0
3.739 0.000 0.000
-1.869 3.238 0.000
0.000 0.000 7.467
La Mg Br
1 1 1
Cartesian
0.000 0.000 0.000
1.869 1.079 2.744
0.000 2.159 5.142
```

Energy relative to the elements, uncorrected: -0.697 eV/atom
M_tot: 0.000 Bohr magnetons per cell
Energy above the most stable polymorph in this dataset: 0.00 kcal/mol of atoms

The following is a PBE calculation of an optimized crystal structure of La2MgBr, from Alexandria via LeMat-Bulk.

```
La2MgBr
1.0
1.898 1.096 10.451
-1.898 1.096 10.451
0.000 -2.192 10.451
La Mg Br
2 1 1
Cartesian
0.000 0.000 0.000
0.000 0.000 7.431
0.000 0.000 23.621
0.000 0.000 15.580
```

Energy relative to the elements, uncorrected: -0.487 eV/atom
M_tot: 0.000 Bohr magnetons per cell
Energy above the most stable polymorph in this dataset: 3.17 kcal/mol of atoms

The following is a PBE calculation of an optimized crystal structure of La2MgBr, from Alexandria via LeMat-Bulk.

```
La2MgBr
1.0
-2.420 2.420 11.339
2.420 -2.420 11.339
2.420 2.420 -11.339
La Mg Br
4 2 2
Cartesian
3.629 0.999 -2.835
0.999 1.210 2.835
-1.210 1.421 8.504
1.421 1.210 14.174
2.420 0.000 5.670
0.000 0.000 11.339
0.000 0.000 0.000
0.000 2.420 5.670
```

Energy relative to the elements, uncorrected: -0.159 eV/atom
M_tot: 0.016 Bohr magnetons per cell
Energy above the most stable polymorph in this dataset: 10.75 kcal/mol of atoms

The following is a PBE calculation of an optimized crystal structure of LaMgBr, from Alexandria via LeMat-Bulk.

```
LaMgBr
1.0
15.788 0.000 0.000
0.000 1.895 3.277
0.000 -1.895 3.277
La Mg Br
2 2 2
Cartesian
2.708 0.000 0.000
13.080 0.000 0.000
0.000 0.000 2.196
7.894 0.000 2.081
4.886 0.000 2.182
10.902 0.000 2.182
```

Energy relative to the elements, uncorrected: -0.664 eV/atom
M_tot: 0.001 Bohr magnetons per cell
Energy above the most stable polymorph in this dataset: 0.75 kcal/mol of atoms

The following is a PBE calculation of an optimized crystal structure of LaMgBr, from Alexandria via LeMat-Bulk.

```
LaMgBr
1.0
5.321 0.000 0.000
-2.661 4.608 0.000
0.000 0.000 3.686
La Mg Br
1 1 1
Cartesian
0.000 0.000 0.000
2.661 1.536 1.843
0.000 3.072 0.000
```

Energy relative to the elements, uncorrected: -0.534 eV/atom
M_tot: 0.000 Bohr magnetons per cell
Energy above the most stable polymorph in this dataset: 3.74 kcal/mol of atoms

The following is a PBE calculation of an optimized crystal structure of LaMgBr2, from Alexandria via LeMat-Bulk.

```
LaMgBr2
1.0
3.960 0.000 0.000
0.000 4.715 0.000
0.000 0.000 6.105
La Mg Br
1 1 2
Cartesian
0.000 0.000 0.000
1.980 0.000 3.053
0.000 2.358 3.053
1.980 2.358 0.000
```

Energy relative to the elements, uncorrected: -0.947 eV/atom
M_tot: 0.000 Bohr magnetons per cell
Energy above the most stable polymorph in this dataset: 3.42 kcal/mol of atoms

The following is a PBE calculation of an optimized crystal structure of LaMgBr2, from Alexandria via LeMat-Bulk.

```
LaMgBr2
1.0
1.884 1.088 9.628
-1.884 1.088 9.628
0.000 -2.176 9.628
La Mg Br
1 1 2
Cartesian
0.000 0.000 0.000
0.000 0.000 14.443
0.000 0.000 3.233
0.000 0.000 25.652
```

Energy relative to the elements, uncorrected: -0.851 eV/atom
M_tot: 0.000 Bohr magnetons per cell
Energy above the most stable polymorph in this dataset: 5.64 kcal/mol of atoms

The following is a PBE calculation of an optimized crystal structure of La2MgBr, from Alexandria via LeMat-Bulk.

```
La2MgBr
1.0
1.912 1.104 9.978
-1.912 1.104 9.978
0.000 -2.207 9.978
La Mg Br
2 1 1
Cartesian
0.000 0.000 7.420
0.000 0.000 22.512
0.000 0.000 0.000
0.000 0.000 14.966
```

Energy relative to the elements, uncorrected: -0.602 eV/atom
M_tot: 0.000 Bohr magnetons per cell
Energy above the most stable polymorph in this dataset: 0.52 kcal/mol of atoms

The following is a PBE calculation of an optimized crystal structure of LaMg2Br, from Alexandria via LeMat-Bulk.

```
LaMg2Br
1.0
6.516 -1.803 0.000
6.516 1.803 0.000
-1.978 0.000 4.692
La Mg Br
1 2 1
Cartesian
0.000 0.000 0.000
1.732 0.000 3.501
9.323 0.000 1.191
5.527 0.000 2.346
```

Energy relative to the elements, uncorrected: -0.479 eV/atom
M_tot: 0.001 Bohr magnetons per cell
Energy above the most stable polymorph in this dataset: 0.26 kcal/mol of atoms

The following is a PBE calculation of an optimized crystal structure of LaMgBr2, from Alexandria via LeMat-Bulk.

```
LaMgBr2
1.0
3.791 0.000 0.000
0.000 3.795 0.000
-0.017 0.000 8.816
La Mg Br
1 1 2
Cartesian
0.000 0.000 0.000
1.895 1.897 2.298
0.002 0.000 3.476
1.879 1.897 7.116
```

Energy relative to the elements, uncorrected: -1.096 eV/atom
M_tot: 0.081 Bohr magnetons per cell
Energy above the most stable polymorph in this dataset: 0.00 kcal/mol of atoms

The following is a PBE calculation of an optimized crystal structure of La2MgBr, from Alexandria via LeMat-Bulk.

```
La2MgBr
1.0
1.981 -3.102 0.000
1.981 3.102 0.000
0.000 0.000 10.420
La Mg Br
2 1 1
Cartesian
0.000 0.000 0.000
1.981 0.000 2.896
0.000 0.000 5.660
1.981 0.000 7.983
```

Energy relative to the elements, uncorrected: -0.437 eV/atom
M_tot: 0.000 Bohr magnetons per cell
Energy above the most stable polymorph in this dataset: 4.31 kcal/mol of atoms

The following is a PBE calculation of an optimized crystal structure of LaMgBr2, from Alexandria via LeMat-Bulk.

```
LaMgBr2
1.0
3.640 -4.917 0.000
3.640 4.917 0.000
-1.804 0.000 3.319
La Mg Br
1 1 2
Cartesian
0.000 0.000 0.000
3.640 0.000 0.000
1.820 2.459 0.000
1.820 -2.459 0.000
```

Energy relative to the elements, uncorrected: -0.947 eV/atom
M_tot: 0.000 Bohr magnetons per cell
Energy above the most stable polymorph in this dataset: 3.43 kcal/mol of atoms

The following is a PBE calculation of an optimized crystal structure of LaMgBr2, from Alexandria via LeMat-Bulk.

```
LaMgBr2
1.0
0.000 3.815 3.815
3.815 0.000 3.815
3.815 3.815 0.000
La Mg Br
1 1 2
Cartesian
0.000 0.000 0.000
3.815 3.815 3.815
1.908 1.908 1.908
5.723 5.723 5.723
```

Energy relative to the elements, uncorrected: -0.877 eV/atom
M_tot: 0.988 Bohr magnetons per cell
Energy above the most stable polymorph in this dataset: 5.05 kcal/mol of atoms

The following is a PBE calculation of an optimized crystal structure of LaMgBr6, from Alexandria via LeMat-Bulk.

```
LaMgBr6
1.0
0.000 5.589 5.589
5.589 0.000 5.589
5.589 5.589 0.000
La Mg Br
1 1 6
Cartesian
0.000 0.000 0.000
5.589 5.589 5.589
5.589 5.589 2.924
5.589 2.924 5.589
8.254 5.589 5.589
2.924 5.589 5.589
5.589 8.254 5.589
5.589 5.589 8.254
```

Energy relative to the elements, uncorrected: -1.355 eV/atom
M_tot: 0.000 Bohr magnetons per cell

The following is a PBE calculation of an optimized crystal structure of LaMgBr, from Alexandria via LeMat-Bulk.

```
LaMgBr
1.0
0.000 3.733 3.733
3.733 0.000 3.733
3.733 3.733 0.000
La Mg Br
1 1 1
Cartesian
0.000 0.000 0.000
1.867 1.867 1.867
5.600 5.600 5.600
```

Energy relative to the elements, uncorrected: -0.196 eV/atom
M_tot: 0.012 Bohr magnetons per cell
Energy above the most stable polymorph in this dataset: 11.55 kcal/mol of atoms

The following is a PBE calculation of an optimized crystal structure of LaMg2Br, from Alexandria via LeMat-Bulk.

```
LaMg2Br
1.0
3.551 0.000 0.000
0.000 5.152 0.000
0.000 0.000 6.134
La Mg Br
1 2 1
Cartesian
0.000 0.000 0.000
0.000 2.576 3.067
1.776 0.000 3.067
1.776 2.576 0.000
```

Energy relative to the elements, uncorrected: -0.472 eV/atom
M_tot: 0.001 Bohr magnetons per cell
Energy above the most stable polymorph in this dataset: 0.41 kcal/mol of atoms

The following is a PBE calculation of an optimized crystal structure of LaMgBr2, from Alexandria via LeMat-Bulk.

```
LaMgBr2
1.0
-2.478 2.478 4.493
2.478 -2.478 4.493
2.478 2.478 -4.493
La Mg Br
1 1 2
Cartesian
0.000 0.000 0.000
0.000 0.000 4.493
2.478 0.000 2.247
0.000 2.478 2.247
```

Energy relative to the elements, uncorrected: -0.917 eV/atom
M_tot: 0.615 Bohr magnetons per cell
Energy above the most stable polymorph in this dataset: 4.12 kcal/mol of atoms

The following is a PBE calculation of an optimized crystal structure of La2MgBr, from Alexandria via LeMat-Bulk.

```
La2MgBr
1.0
3.764 0.000 0.000
0.000 5.425 0.000
0.000 0.000 6.252
La Mg Br
2 1 1
Cartesian
0.000 0.000 0.000
1.882 0.000 3.126
0.000 2.712 3.126
1.882 2.712 0.000
```

Energy relative to the elements, uncorrected: -0.339 eV/atom
M_tot: 0.000 Bohr magnetons per cell
Energy above the most stable polymorph in this dataset: 6.58 kcal/mol of atoms